Record 1
VASP calculation (GGA-PBE) on crystalline NbFeSbPt at its relaxed geometry.

a = 6.467 Å, b = 6.467 Å, c = 6.467 Å
α = 90.00°, β = 90.00°, γ = 90.00°
Space group F-43m (No. 216)
Symmetry-distinct sites (fractional):
Nb  0.000  0.000  0.000
Fe  0.250  0.250  0.750
Sb  0.000  0.000  0.500
Pt  0.250  0.250  0.250

Summary:
Spin magnetization: 4.53 μB/cell
Calculated total energy: -113.60 eV per cell

=====

Record 2
VASP calculation (GGA-PBE) on crystalline GdAl2Ga at its relaxed geometry.

a = 4.577 Å, b = 10.947 Å, c = 6.366 Å
α = 90.00°, β = 90.00°, γ = 90.00°
Space group Ama2 (No. 40)
Symmetry-distinct sites (fractional):
Gd  0.250  0.165  0.000
Al  0.250  0.144  0.501
Al  0.250  0.426  0.785
Ga  0.250  0.424  0.219

Summary:
Spin magnetization: 0.01 μB/cell
Calculated total energy: -68.39 eV per cell